A plane-wave DFT calculation with PBE was carried out for a relaxed Eu2PdAu crystal.

Output
**Size of the total moment**: 14.3 μB per formula unit
**VASP energy**: -7.98 eV/atom
**Space group**: Fm-3m (225)

Cell: 5.213 5.213 5.213 Å, 60.00 60.00 60.00°
Each line ends with the local moment (μB).
Sites, in units of the cell vectors:
Au  0.250  0.250  0.250  0.02
Eu  0.000  0.000  0.000  6.86
Eu  0.500  0.500  0.500  6.86
Pd  0.750  0.750  0.750  -0.03